Record 1
The following is a DFT calculation (PBE) of HoBi2TeO4 after structural relaxation.

Output
The crystal system is tetragonal. The calculation puts the density of states at the Fermi level at 2.036 states/eV per cell. For the mass density, the calculation gives 8.43 g/cm3. For the uncorrected formation energy, the calculation gives -1791 meV per atom.

Cell lengths 3.8778, 3.8778, 10.1487 Å; angles 90.00, 90.00, 90.00 degrees
With the nearest neighbours (Å) after each atom.
Fractional positions:
Ho (0.0000, 0.0000, 0.0000)  8 O 2.38
Bi (0.5000, 0.5000, 0.2477)  4 O 2.25
Bi (0.5000, 0.5000, 0.7523)  4 O 2.25
Te (0.0000, 0.0000, 0.5000)  8 Bi 3.75, 4 Te 3.88, 8 O 4.18
O (0.0000, 0.5000, 0.1356)  2 Bi 2.25, 2 Ho 2.38
O (0.0000, 0.5000, 0.8644)  2 Bi 2.25, 2 Ho 2.38
O (0.5000, 0.0000, 0.1356)  2 Bi 2.25, 2 Ho 2.38
O (0.5000, 0.0000, 0.8644)  2 Bi 2.25, 2 Ho 2.38

---

Record 2
The following is a DFT calculation (PBE) of NbRu5 after structural relaxation.

Output
The crystal system is orthorhombic. The calculation puts the density of states at the Fermi level at 6.361 states/eV per cell. For the mass density, the calculation gives 11.31 g/cm3. The value obtained for the formation energy is -45 meV per atom.

Cell lengths 6.2311, 6.2311, 3.8447 Å; angles 90.00, 90.00, 143.97 degrees
With the nearest neighbours (Å) after each atom.
Fractional positions:
Nb (0.0000, 0.0000, 0.0000)  12 Ru 2.72-2.82
Ru (0.1724, 0.8276, 0.5000)  10 Ru 2.65-2.81, 2 Nb 2.81
Ru (0.3261, 0.6739, 0.0000)  10 Ru 2.64-2.82, 2 Nb 2.82
Ru (0.5000, 0.5000, 0.5000)  4 Nb 2.72, 8 Ru 2.81-2.82
Ru (0.6739, 0.3261, 0.0000)  10 Ru 2.64-2.82, 2 Nb 2.82
Ru (0.8276, 0.1724, 0.5000)  10 Ru 2.65-2.81, 2 Nb 2.81

---

Record 3
The following is a DFT calculation (PBE) of AcZn2In after structural relaxation.

Output
The crystal system is tetragonal. The calculation puts the density of states at the Fermi level at 3.147 states/eV per cell. For the mass density, the calculation gives 7.83 g/cm3. The value obtained for the formation energy is -123 meV per atom.

Cell lengths 3.7095, 3.7095, 7.2884 Å; angles 90.00, 90.00, 90.00 degrees
With the nearest neighbours (Å) after each atom.
Fractional positions:
Ac (0.0000, 0.0000, 0.0000)  8 Zn 3.38, 2 In 3.64, 4 Ac 3.71
Zn (0.5000, 0.5000, 0.2932)  1 Zn 3.01, 4 In 3.03
Zn (0.5000, 0.5000, 0.7068)  1 Zn 3.01, 4 In 3.03
In (0.0000, 0.0000, 0.5000)  8 Zn 3.03

---

Record 4
The following is a DFT calculation (PBE) of NdMn6Sn6 after structural relaxation.

Output
The crystal system is orthorhombic. The calculation puts the density of states at the Fermi level at 16.680 states/eV per cell. For the mass density, the calculation gives 8.39 g/cm3. The value obtained for the formation energy is -119 meV per atom.

Cell lengths 15.1676, 15.1676, 15.1676 Å; angles 159.17, 145.37, 40.76 degrees
With the nearest neighbours (Å) after each atom.
Fractional positions:
Nd (0.0000, 0.0000, 0.0000)  8 Sn 3.03-3.19
Nd (0.1695, 0.6695, 0.5000)  8 Sn 3.03-3.22
Nd (0.8305, 0.3305, 0.5000)  8 Sn 3.03-3.22
Mn (0.0000, 0.0000, 0.5000)  6 Sn 2.74-2.86, 4 Mn 2.74
Mn (0.0000, 0.5000, 0.0000)  6 Sn 2.74-2.86, 4 Mn 2.74
Mn (0.0820, 0.8333, 0.2487)  6 Sn 2.71-2.85, 4 Mn 2.74
Mn (0.1656, 0.1663, 0.4984)  4 Mn 2.74-2.75, 6 Sn 2.74-2.85
Mn (0.1656, 0.6671, 0.9992)  4 Mn 2.74-2.75, 6 Sn 2.74-2.85
Mn (0.2483, 0.5000, 0.7483)  4 Mn 2.74, 6 Sn 2.76-2.85
Mn (0.3321, 0.3329, 0.4984)  4 Mn 2.74-2.75, 6 Sn 2.74-2.85
Mn (0.3321, 0.8337, 0.9992)  4 Mn 2.74-2.75, 6 Sn 2.74-2.85
Mn (0.4154, 0.1667, 0.2487)  6 Sn 2.71-2.85, 4 Mn 2.74
Mn (0.5000, 0.0000, 0.0000)  6 Sn 2.74-2.86, 4 Mn 2.74
Mn (0.5000, 0.5000, 0.5000)  6 Sn 2.74-2.86, 4 Mn 2.74
Mn (0.5846, 0.8333, 0.7513)  6 Sn 2.71-2.85, 4 Mn 2.74
Mn (0.6679, 0.1663, 0.0008)  4 Mn 2.74-2.75, 6 Sn 2.74-2.85
Mn (0.6679, 0.6671, 0.5016)  4 Mn 2.74-2.75, 6 Sn 2.74-2.85
Mn (0.7517, 0.5000, 0.2517)  4 Mn 2.74, 6 Sn 2.76-2.85
Mn (0.8344, 0.3329, 0.0008)  4 Mn 2.74-2.75, 6 Sn 2.74-2.85
Mn (0.8344, 0.8337, 0.5016)  4 Mn 2.74-2.75, 6 Sn 2.74-2.85
Mn (0.9180, 0.1667, 0.7513)  6 Sn 2.71-2.85, 4 Mn 2.74
Sn (0.0564, 0.5564, 0.5000)  6 Mn 2.74-2.76
Sn (0.1121, 0.1121, 0.0000)  6 Mn 2.73-2.76
Sn (0.1695, 0.3340, 0.8355)  6 Mn 2.83-2.86, 1 Sn 2.97, 1 Nd 3.03
Sn (0.2250, 0.2250, 0.0000)  6 Mn 2.74-2.79
Sn (0.2813, 0.7813, 0.5000)  6 Mn 2.71-2.79
Sn (0.3359, 0.0000, 0.3359)  6 Mn 2.85, 1 Sn 2.96, 1 Nd 3.03
Sn (0.3903, 0.8903, 0.5000)  6 Mn 2.75-2.79
Sn (0.4447, 0.4447, 0.0000)  6 Mn 2.76-2.77
Sn (0.4986, 0.3340, 0.1645)  6 Mn 2.83-2.86, 1 Sn 2.97, 1 Nd 3.03
Sn (0.5014, 0.6660, 0.8355)  6 Mn 2.83-2.86, 1 Sn 2.97, 1 Nd 3.03
Sn (0.5553, 0.5553, 0.0000)  6 Mn 2.76-2.77
Sn (0.6097, 0.1097, 0.5000)  6 Mn 2.75-2.79
Sn (0.6641, 0.0000, 0.6641)  6 Mn 2.85, 1 Sn 2.96, 1 Nd 3.03
Sn (0.7187, 0.2187, 0.5000)  6 Mn 2.71-2.79
Sn (0.7750, 0.7750, 0.0000)  6 Mn 2.74-2.79
Sn (0.8305, 0.6660, 0.1645)  6 Mn 2.83-2.86, 1 Sn 2.97, 1 Nd 3.03
Sn (0.8879, 0.8879, 0.0000)  6 Mn 2.73-2.76
Sn (0.9436, 0.4436, 0.5000)  6 Mn 2.74-2.76